Hf2BiSe: relaxed, PBE.

Lattice parameters (Å, degrees): 5.5011 5.5011 15.7444 90.00 90.00 90.00
With the nearest neighbours (Å) after each atom.
Space group I-42d (No. 122)
Unique sites:
Hf 0.1772 0.2500 0.1250  2 Se 2.59
Bi 0.0000 0.0000 0.5000  4 Hf 2.99
Se 0.0000 0.0000 0.0000  4 Hf 2.59

The calculation puts the formation energy (no corrections) at 0.0784 eV/atom. For the polymorph energy (0 for the lowest one), the calculation gives 647 meV per atom. The value obtained for the size of the total moment is 0.00 μB per formula unit. As for the density of states at the Fermi level: 13.179 states/eV per cell.

=====

KHg4Te: relaxed, PBE.

Lattice parameters (Å, degrees): 9.0169 9.0169 9.0169 90.00 90.00 90.00
With the nearest neighbours (Å) after each atom.
Space group F-43m (No. 216)
Unique sites:
K 0.0000 0.0000 0.0000  12 Hg 3.74, 4 Te 3.90
Hg 0.1243 0.1243 0.3757  6 Hg 3.17-3.20
Te 0.2500 0.2500 0.7500  12 Hg 3.74, 4 K 3.90

The calculation puts the formation energy (no corrections) at -0.1513 eV/atom. The value obtained for the size of the total moment is 0.00 μB per formula unit. As for the density of states at the Fermi level: 24.681 states/eV per cell.

=====

TbCe3Sm3Se8: relaxed, PBE.

Lattice parameters (Å, degrees): 8.3593 8.3593 20.4382 90.00 90.00 120.00
With the nearest neighbours (Å) after each atom.
Space group R-3m (No. 166, hexagonal axes)
Unique sites:
Tb 0.0000 0.0000 0.0000  6 Se 2.93
Ce 0.0000 0.5000 0.0000  6 Se 2.97
Sm 0.0000 0.5000 0.5000  6 Se 2.94
Se 0.0000 0.0000 0.2489  3 Sm 2.94, 3 Ce 2.97
Se 0.0036 0.5018 0.7501  1 Tb 2.93, 2 Sm 2.94, 2 Ce 2.97

The calculation puts the formation energy (no corrections) at -1.8592 eV/atom. The value obtained for the size of the total moment is 3.58 μB per formula unit. As for the density of states at the Fermi level: 63.383 states/eV per cell.